(1)
A relaxed structure of Mg4MnRu. Source: Alexandria, functional PBE.

Geometry as POSCAR:
```
Mg4MnRu
1.0
-2.413 3.733 3.025
0.743 5.217 -1.067
-4.023 2.926 -2.041
Mg Mn Ru
4 1 1
Cartesian
-3.343 6.321 1.487 Mg
-4.151 5.916 -1.055 Mg
-1.759 7.066 -0.567 Mg
-2.132 4.447 -0.031 Mg
-4.269 8.906 -0.062 Mn
0.000 0.000 0.000 Ru
```

energy of formation: 45.95 kJ/mol of atoms

---

(2)
A relaxed structure of NaLaY2Pd. Source: Alexandria, functional PBE.

Geometry as POSCAR:
```
NaLaY2Pd
1.0
-4.398 1.594 -3.097
0.022 -4.974 -2.593
-3.508 -2.060 3.921
Y Na Pd La
2 1 1 1
Cartesian
0.011 -2.487 -1.297 Y
-2.199 0.797 -1.548 Y
-3.941 -2.720 -0.885 Na
0.000 0.000 0.000 Pd
-1.754 -1.030 1.960 La
```

energy of formation: -9.61 kJ/mol of atoms

---

(3)
A relaxed structure of Pr4Sm3Er8. Source: Alexandria, functional PBE.

Geometry as POSCAR:
```
Pr4Sm3Er8
1.0
-6.656 1.268 -0.014
1.746 -9.023 -1.586
3.187 -1.344 8.661
Pr Sm Er
4 3 8
Cartesian
-3.328 0.634 -0.007 Pr
0.873 -4.511 -0.793 Pr
0.000 0.000 0.000 Pr
1.594 -0.672 4.330 Pr
-2.455 -3.877 -0.800 Sm
-1.735 -0.038 4.323 Sm
-0.861 -4.550 3.530 Sm
-2.186 -2.119 1.895 Er
2.268 -6.244 2.122 Er
1.284 -2.788 1.909 Er
-1.212 -6.417 1.039 Er
-0.511 -2.682 6.022 Er
-3.007 -6.311 5.152 Er
2.666 -4.123 4.953 Er
0.463 -6.980 5.166 Er
```

energy of formation: 34.55 kJ/mol of atoms
offset from the most stable computed form: 235 meV per atom

---

(4)
A relaxed structure of BP2Pb2O9. Source: Alexandria, functional PBE.

Geometry as POSCAR:
```
BP2Pb2O9
1.0
-1.831 -1.698 4.934
-6.900 -3.020 -3.601
7.181 -14.370 -1.705
B P Pb O
4 8 8 36
Cartesian
-1.233 -4.915 1.796 B
-4.717 -7.792 1.207 B
-0.318 -14.175 -2.168 B
3.166 -11.297 -1.579 B
-1.200 -2.673 3.494 P
-2.154 -8.897 0.864 P
-0.351 -16.416 -3.866 P
0.603 -10.193 -1.236 P
-4.096 -5.050 1.559 P
0.885 -6.457 2.873 P
2.545 -14.039 -1.931 P
-2.435 -12.632 -3.245 P
-5.106 -4.679 -1.728 Pb
0.225 -6.663 -0.600 Pb
3.555 -14.411 1.356 Pb
-1.776 -12.426 0.228 Pb
0.366 -16.541 -0.291 Pb
1.508 -10.254 1.925 Pb
-1.916 -2.548 -0.081 Pb
-3.058 -8.835 -2.297 Pb
-7.027 -4.604 -0.013 O
-1.042 -9.030 1.910 O
5.476 -14.485 -0.358 O
-0.508 -10.059 -2.282 O
-4.475 -6.377 0.834 O
-0.564 -5.931 2.645 O
2.924 -12.712 -1.205 O
-0.986 -13.158 -3.016 O
-0.766 -3.539 2.230 O
-3.413 -8.392 1.697 O
-0.785 -15.550 -2.602 O
1.863 -10.697 -2.069 O
-4.129 -3.957 0.480 O
0.757 -7.621 3.869 O
2.578 -15.133 -0.852 O
-2.308 -11.468 -4.241 O
-3.249 -3.133 -2.204 O
1.490 -6.842 1.504 O
1.699 -15.956 1.832 O
-3.040 -12.247 -1.876 O
-2.655 -2.201 3.230 O
-2.592 -10.198 0.140 O
1.105 -16.888 -3.602 O
1.041 -8.891 -0.511 O
-1.065 -4.948 0.389 O
-3.847 -6.407 -2.734 O
-0.485 -14.141 -0.761 O
2.297 -12.682 2.362 O
-2.687 -5.096 2.249 O
-5.035 -8.386 -0.171 O
1.137 -13.993 -2.620 O
3.485 -10.703 -0.201 O
0.542 -1.891 -0.187 O
-1.841 -7.883 -0.272 O
-2.093 -17.199 -0.185 O
0.290 -11.206 -0.100 O
```

E_form (uncorrected): -26.7 eV/f.u.

---

Number 1: size of the total moment 0.65 μB per atom, DOS at the Fermi energy 4.92 states/eV per cell. Number 2: size of the total moment 0.00 μB per atom, DOS at the Fermi energy 6.19 states/eV per cell. Number 3: size of the total moment 0.00 μB per atom, DOS at the Fermi energy 30.58 states/eV per cell. Number 4: size of the total moment 0.00 μB per atom, DOS at the Fermi energy 13.46 states/eV per cell.